(1)
VASP calculation (PBE-GGA) on a relaxed CoRu crystal.

Geometry as CIF:
```
data_CoRu
_chemical_formula_sum 'Co2 Ru2'
_cell_length_a 3.5012
_cell_length_b 3.5012
_cell_length_c 5.4087
_cell_angle_alpha 90.00
_cell_angle_beta 90.00
_cell_angle_gamma 120.00
_symmetry_space_group_name_H-M 'P 63/m m c'
_symmetry_Int_Tables_number 194
_symmetry_space_group_name_Hall '-P 6c 2c'
loop_
_atom_site_label
_atom_site_fract_x
_atom_site_fract_y
_atom_site_fract_z
Co1 0.3333 0.6667 0.2500
Ru1 0.0000 0.0000 0.0000
```

Properties
DOS(E_F) (states/eV/atom): 1.4264
E_tot (eV/atom): -7.31
M_tot (Bohr magnetons per cell): 3.23
Formation energy (eV/atom): 0.881

(2)
VASP calculation (PBE-GGA) on a relaxed RbSr2IrPb crystal.

Geometry as CIF:
```
data_RbSr2IrPb
_chemical_formula_sum 'Rb1 Sr2 Ir1 Pb1'
_cell_length_a 6.002
_cell_length_b 6.002
_cell_length_c 5.359
_cell_angle_alpha 90.00
_cell_angle_beta 90.00
_cell_angle_gamma 90.00
_symmetry_space_group_name_H-M 'P 4/m m m'
_symmetry_Int_Tables_number 123
_symmetry_space_group_name_Hall '-P 4 2'
loop_
_atom_site_label
_atom_site_fract_x
_atom_site_fract_y
_atom_site_fract_z
Rb1 0.000 0.000 0.000
Sr1 0.000 0.500 0.500
Ir1 0.500 0.500 0.500
Pb1 0.500 0.500 0.000
```

Properties
DOS(E_F) (states/eV/atom): 0.7081
E_tot (eV/atom): -3.49
M_tot (Bohr magnetons per cell): 0.52
Formation energy (eV/atom): -0.114

(3)
VASP calculation (PBE-GGA) on a relaxed Ho3ThNi2 crystal.

Geometry as CIF:
```
data_Ho3ThNi2
_chemical_formula_sum 'Ho12 Th4 Ni8'
_cell_length_a 16.194
_cell_length_b 3.862
_cell_length_c 11.313
_cell_angle_alpha 90.00
_cell_angle_beta 123.26
_cell_angle_gamma 90.00
_symmetry_space_group_name_H-M 'C 1 2/m 1'
_symmetry_Int_Tables_number 12
loop_
_symmetry_equiv_pos_as_xyz
'x,y,z'
'-x,-y,-z'
'-x,y,-z'
'x,-y,z'
'x+1/2,y+1/2,z'
'-x+1/2,-y+1/2,-z'
'-x+1/2,y+1/2,-z'
'x+1/2,-y+1/2,z'
loop_
_atom_site_label
_atom_site_fract_x
_atom_site_fract_y
_atom_site_fract_z
Ho1 0.079 0.000 0.442
Ho2 0.080 0.000 0.938
Ho3 0.153 0.500 0.748
Th1 0.156 0.500 0.250
Ni1 0.230 0.500 0.556
Ni2 0.231 0.500 0.052
```

Properties
DOS(E_F) (states/eV/atom): 1.0667
E_tot (eV/atom): -5.74
M_tot (Bohr magnetons per cell): 0.00
Formation energy (eV/atom): -0.283

(4)
VASP calculation (PBE-GGA) on a relaxed MgSb2IF crystal.

Geometry as CIF:
```
data_MgSb2IF
_chemical_formula_sum 'Mg1 Sb2 I1 F1'
_cell_length_a 4.695
_cell_length_b 4.695
_cell_length_c 6.224
_cell_angle_alpha 90.00
_cell_angle_beta 90.00
_cell_angle_gamma 90.00
_symmetry_space_group_name_H-M 'P 4/m m m'
_symmetry_Int_Tables_number 123
_symmetry_space_group_name_Hall '-P 4 2'
loop_
_atom_site_label
_atom_site_fract_x
_atom_site_fract_y
_atom_site_fract_z
Mg1 0.000 0.000 0.000
Sb1 0.000 0.500 0.500
I1 0.500 0.500 0.000
F1 0.500 0.500 0.500
```

Properties
DOS(E_F) (states/eV/atom): 0.6903
E_tot (eV/atom): -2.86
M_tot (Bohr magnetons per cell): 0.00
Relative energy among the computed polymorphs (kcal/mol of atoms): 0.00
Formation energy from raw total energies (eV/atom): -0.206

(5)
VASP calculation (PBE-GGA) on a relaxed DyYSc2Bi4 crystal.

Geometry as CIF:
```
data_DyYSc2Bi4
_chemical_formula_sum 'Dy1 Y1 Sc2 Bi4'
_cell_length_a 7.573
_cell_length_b 4.375
_cell_length_c 7.580
_cell_angle_alpha 90.00
_cell_angle_beta 109.46
_cell_angle_gamma 90.00
_symmetry_space_group_name_H-M 'P 1 2/m 1'
_symmetry_Int_Tables_number 10
loop_
_symmetry_equiv_pos_as_xyz
'x,y,z'
'-x,-y,-z'
'-x,y,-z'
'x,-y,z'
loop_
_atom_site_label
_atom_site_fract_x
_atom_site_fract_y
_atom_site_fract_z
Dy1 0.000 0.000 0.000
Y1 0.000 0.500 0.500
Sc1 0.500 0.000 0.500
Sc2 0.500 0.500 0.000
Bi1 0.265 0.000 0.755
Bi2 0.265 0.500 0.255
```

Properties
DOS(E_F) (states/eV/atom): 0.1839
E_tot (eV/atom): -5.67
M_tot (Bohr magnetons per cell): 0.00
Formation energy (eV/atom): -0.765

(6)
VASP calculation (PBE-GGA) on a relaxed Ba2CdHAu crystal.

Geometry as CIF:
```
data_Ba2CdHAu
_chemical_formula_sum 'Ba2 Cd1 H1 Au1'
_cell_length_a 5.610
_cell_length_b 5.610
_cell_length_c 4.450
_cell_angle_alpha 90.00
_cell_angle_beta 90.00
_cell_angle_gamma 90.00
_symmetry_space_group_name_H-M 'P 4/m m m'
_symmetry_Int_Tables_number 123
_symmetry_space_group_name_Hall '-P 4 2'
loop_
_atom_site_label
_atom_site_fract_x
_atom_site_fract_y
_atom_site_fract_z
Ba1 0.000 0.500 0.000
Cd1 0.000 0.000 0.500
H1 0.000 0.000 0.000
Au1 0.500 0.500 0.500
```

Properties
DOS(E_F) (states/eV/atom): 0.6364
E_tot (eV/atom): -2.67
M_tot (Bohr magnetons per cell): 0.00